Entry 1:
The following is a DFT calculation (GGA-PBE) of an optimized crystal structure of LaZrAu2.

Summary:
As for the space group: F-43m, No. 216. Its formation energy is -0.25 eV per atom. The calculation puts the total magnetization at 0.94 μB/cell. As for the density of states at the Fermi level: 0.855 states/eV/atom.

abc: 4.9772 4.9772 4.9772
angles: 60.00 60.00 60.00
Last column: nearest neighbours and their distance in Å.
Positions (direct):
La 0.5000 0.5000 0.5000  4 Au 3.05, 4 Zr 3.05
Au 0.0000 0.0000 0.0000  4 Zr 3.05, 4 Au 3.05
Zr 0.7500 0.7500 0.7500  4 La 3.05, 4 Au 3.05
Au 0.2500 0.2500 0.2500  4 Au 3.05, 4 La 3.05

Entry 2:
The following is a DFT calculation (GGA-PBE) of an optimized crystal structure of Li4Au.

Summary:
As for the space group: I4/mmm, No. 139. Its formation energy is -0.05 eV per atom. The value obtained for the energy above the most stable polymorph in this dataset is 265 meV per atom. The calculation puts the total magnetization at 0.00 μB/cell. As for the density of states at the Fermi level: 0.446 states/eV/atom.

abc: 7.8810 7.8810 7.8810
angles: 154.29 154.29 36.68
Last column: nearest neighbours and their distance in Å.
Positions (direct):
Li 0.4130 0.4130 0.0000  1 Li 2.60, 4 Au 2.80
Au 0.0000 0.0000 0.0000  8 Li 2.80
Li 0.7500 0.2500 0.5000  4 Li 2.48
Li 0.2500 0.7500 0.5000  4 Li 2.48
Li 0.5870 0.5870 0.0000  1 Li 2.60, 4 Au 2.80

Entry 3:
The following is a DFT calculation (GGA-PBE) of an optimized crystal structure of LiAu3.

Summary:
As for the space group: Pm-3m, No. 221. Its formation energy is -0.35 eV per atom. The calculation puts the total magnetization at 0.00 μB/cell. As for the density of states at the Fermi level: 0.322 states/eV/atom.

abc: 4.0643 4.0650 4.0664
angles: 90.00 90.00 90.00
Last column: nearest neighbours and their distance in Å.
Positions (direct):
Li 0.5000 0.0000 0.5830  12 Au 2.87-2.88
Au 0.0000 0.5000 0.5835  4 Li 2.87, 8 Au 2.87-2.88
Au 0.0000 0.0000 0.0834  4 Li 2.87-2.88, 8 Au 2.87-2.88
Au 0.5000 0.5000 0.0835  4 Li 2.87-2.88, 8 Au 2.87

Entry 4:
The following is a DFT calculation (GGA-PBE) of an optimized crystal structure of Li5Au4.

Summary:
As for the space group: Immm, No. 71. Its formation energy is -0.47 eV per atom. The value obtained for the energy above the most stable polymorph in this dataset is 39 meV per atom. The calculation puts the total magnetization at 0.00 μB/cell. As for the density of states at the Fermi level: 0.257 states/eV/atom.

abc: 4.0419 6.3686 6.3686
angles: 84.51 71.50 71.50
Last column: nearest neighbours and their distance in Å.
Positions (direct):
Au 0.6678 0.3313 0.3331  8 Li 2.77-2.86, 4 Au 2.84-2.87
Li 0.6873 0.9794 0.6460  1 Li 2.66, 6 Au 2.77-2.85
Li 0.3127 0.3540 0.0206  1 Li 2.66, 6 Au 2.77-2.85
Li 0.0000 0.9789 0.0211  1 Li 2.67, 6 Au 2.77-2.83
Au 0.3322 0.6669 0.6687  8 Li 2.77-2.86, 4 Au 2.84-2.87
Au 0.3322 0.0020 0.3336  8 Li 2.77-2.86, 4 Au 2.84-2.87
Li 0.0000 0.3544 0.6456  1 Li 2.67, 6 Au 2.77-2.83
Li 0.0000 0.6667 0.3333  4 Li 2.66-2.67, 8 Au 2.86
Au 0.6678 0.6664 0.9980  8 Li 2.77-2.86, 4 Au 2.84-2.87

Entry 5:
The following is a DFT calculation (GGA-PBE) of an optimized crystal structure of Li3Au2.

Summary:
As for the space group: R-3m, No. 166. Its formation energy is -0.31 eV per atom. The value obtained for the energy above the most stable polymorph in this dataset is 179 meV per atom. The calculation puts the total magnetization at 0.00 μB/cell. As for the density of states at the Fermi level: 0.280 states/eV/atom.

abc: 10.7954 10.7954 10.7954
angles: 16.17 16.17 16.17
Last column: nearest neighbours and their distance in Å.
Positions (direct):
Li 0.0000 0.0000 0.0000  6 Au 2.70
Li 0.7940 0.7940 0.7940  3 Au 2.67
Au 0.6023 0.6023 0.6023  6 Li 2.67-2.70
Li 0.2060 0.2060 0.2060  3 Au 2.67
Au 0.3977 0.3977 0.3977  6 Li 2.67-2.70

Entry 6:
The following is a DFT calculation (GGA-PBE) of an optimized crystal structure of Li3Au2.

Summary:
As for the space group: C2/c, No. 15. Its formation energy is -0.49 eV per atom. The value obtained for the energy above the most stable polymorph in this dataset is 0 meV per atom. The calculation puts the total magnetization at 0.00 μB/cell. As for the density of states at the Fermi level: 0.317 states/eV/atom.

abc: 9.2287 7.3948 5.2976
angles: 69.52 53.22 35.01
Last column: nearest neighbours and their distance in Å.
Positions (direct):
Li 0.7750 0.5152 0.7157  3 Li 2.60-2.84, 6 Au 2.72-2.86
Au 0.2437 0.1525 0.7423  9 Li 2.72-2.86, 3 Au 2.91-2.92
Au 0.8616 0.7423 0.1525  9 Li 2.72-2.86, 3 Au 2.91-2.92
Au 0.5885 0.3077 0.8977  9 Li 2.72-2.87, 3 Au 2.90-2.92
Li 0.9941 0.7157 0.5152  3 Li 2.60-2.84, 6 Au 2.72-2.86
Li 0.6747 0.5353 0.3340  4 Li 2.60-2.91, 6 Au 2.72-2.87
Li 0.4561 0.3340 0.5353  4 Li 2.60-2.91, 6 Au 2.72-2.87
Li 0.3677 0.1323 0.1323  6 Au 2.72-2.82, 6 Li 2.83-2.97
Li 0.0825 0.9175 0.9175  6 Au 2.72-2.82, 6 Li 2.83-2.97
Au 0.2061 0.8977 0.3077  9 Li 2.72-2.87, 3 Au 2.90-2.92

Entry 7:
The following is a DFT calculation (GGA-PBE) of an optimized crystal structure of Li3Au4.

Summary:
As for the space group: R-3, No. 148. Its formation energy is -0.48 eV per atom. The value obtained for the energy above the most stable polymorph in this dataset is 0 meV per atom. The calculation puts the total magnetization at 0.00 μB/cell. As for the density of states at the Fermi level: 0.229 states/eV/atom.

abc: 5.5108 7.0719 7.0719
angles: 113.50 105.06 105.06
Last column: nearest neighbours and their distance in Å.
Positions (direct):
Au 0.3816 0.4509 0.1514  7 Li 2.67-2.79, 2 Au 2.89-2.99
Au 0.6184 0.5491 0.8486  7 Li 2.67-2.79, 2 Au 2.89-2.99
Au 0.0000 0.0000 0.0000  8 Au 2.76-2.89, 6 Li 3.05
Au 0.5000 0.0000 0.0000  6 Li 2.71, 2 Au 2.76
Au 0.7698 0.1514 0.7005  7 Li 2.67-2.79, 2 Au 2.89-2.99
Au 0.0693 0.2995 0.4509  7 Li 2.67-2.79, 2 Au 2.89-2.99
Li 0.1312 0.5840 0.8642  8 Au 2.67-2.79
Li 0.4529 0.7198 0.5840  8 Au 2.67-2.79
Au 0.2302 0.8486 0.2995  7 Li 2.67-2.79, 2 Au 2.89-2.99
Au 0.9307 0.7005 0.5491  7 Li 2.67-2.79, 2 Au 2.89-2.99
Li 0.5471 0.2802 0.4160  8 Au 2.67-2.79
Li 0.8688 0.4160 0.1358  8 Au 2.67-2.79
Li 0.7331 0.8642 0.2802  8 Au 2.67-2.79
Li 0.2669 0.1358 0.7198  8 Au 2.67-2.79

Entry 8:
The following is a DFT calculation (GGA-PBE) of an optimized crystal structure of LiAu3.

Summary:
As for the space group: Pm-3n, No. 223. Its formation energy is -0.23 eV per atom. The calculation puts the total magnetization at 0.00 μB/cell. As for the density of states at the Fermi level: 0.498 states/eV/atom.

abc: 5.2264 5.2264 5.2264
angles: 90.00 90.00 90.00
Last column: nearest neighbours and their distance in Å.
Positions (direct):
Li 0.0000 0.0000 0.0000  12 Au 2.92
Au 0.5000 0.0000 0.2500  2 Au 2.61, 4 Li 2.92
Au 0.0000 0.7500 0.5000  2 Au 2.61, 4 Li 2.92
Li 0.5000 0.5000 0.5000  12 Au 2.92
Au 0.7500 0.5000 0.0000  2 Au 2.61, 4 Li 2.92
Au 0.5000 0.0000 0.7500  2 Au 2.61, 4 Li 2.92
Au 0.2500 0.5000 0.0000  2 Au 2.61, 4 Li 2.92
Au 0.0000 0.2500 0.5000  2 Au 2.61, 4 Li 2.92